Record 1
V2CoAgI, relaxed, DFT GGA-PBE; SG = P4/mmm (123); total magnetization = 0.0 μB per formula unit; final energy = -22.0 eV per cell
1.0
4.790 0.000 0.000
0.000 4.790 0.000
0.000 0.000 4.517
V Co Ag I
2 1 1 1
Direct
0.000 0.500 0.000
0.500 0.000 0.000
0.000 0.000 0.500
0.500 0.500 0.500
0.000 0.000 0.000

Record 2
In2CoAg, relaxed, DFT GGA-PBE; SG = P4mm (99); total magnetization = 1.0 μB per formula unit; energy relative to the lowest polymorph listed for this composition = 0.1377 eV per atom; formation enthalpy at 0 K = 0.23 eV per atom; final energy = -14.5 eV per cell
1.0
3.578 0.000 0.000
0.000 3.578 0.000
0.000 0.000 5.864
In Co Ag
2 1 1
Direct
0.000 0.000 0.000
0.500 0.500 0.315
0.500 0.500 0.814
0.000 0.000 0.542

Record 3
InCoAg4, relaxed, DFT GGA-PBE; SG = F-43m (216); total magnetization = 2.0 μB per formula unit; formation enthalpy at 0 K = 0.43 eV per atom; final energy = -18.7 eV per cell
1.0
0.000 3.857 3.857
3.857 0.000 3.857
3.857 3.857 0.000
In Co Ag
1 1 4
Direct
0.000 0.000 0.000
0.250 0.250 0.250
0.126 0.625 0.625
0.625 0.126 0.625
0.625 0.625 0.126
0.625 0.625 0.625

Record 4
InCo2Ag, relaxed, DFT GGA-PBE; SG = Cmmm (65); total magnetization = 2.3 μB per formula unit; formation enthalpy at 0 K = 0.34 eV per atom; final energy = -18.5 eV per cell
1.0
2.997 -3.005 0.000
2.997 3.005 0.000
0.000 0.000 3.305
In Co Ag
1 2 1
Direct
0.000 0.000 0.000
0.000 0.500 0.500
0.500 0.000 0.500
0.500 0.500 0.000

Record 5
In2CoAg, relaxed, DFT GGA-PBE; SG = R3m (160); total magnetization = 1.3 μB per formula unit; energy relative to the lowest polymorph listed for this composition = 0.2300 eV per atom; formation enthalpy at 0 K = 0.32 eV per atom; final energy = -14.1 eV per cell
1.0
1.573 0.908 9.084
-1.573 0.908 9.084
0.000 -1.816 9.084
In Co Ag
2 1 1
Direct
0.000 0.000 0.000
0.234 0.234 0.234
0.495 0.495 0.495
0.755 0.755 0.755

Record 6
InCo3Ag, relaxed, DFT GGA-PBE; SG = Pm-3m (221); total magnetization = 4.7 μB per formula unit; energy relative to the lowest polymorph listed for this composition = 0.1040 eV per atom; formation enthalpy at 0 K = 1.57 eV per atom; final energy = -19.1 eV per cell
1.0
4.704 0.000 0.000
0.000 4.704 0.000
0.000 0.000 4.704
In Co Ag
1 3 1
Direct
0.000 0.000 0.000
0.000 0.000 0.500
0.000 0.500 0.000
0.500 0.000 0.000
0.500 0.500 0.500

Record 7
InCo2Ag, relaxed, DFT GGA-PBE; SG = R-3m (166); total magnetization = 2.6 μB per formula unit; formation enthalpy at 0 K = 0.50 eV per atom; final energy = -17.8 eV per cell
1.0
1.440 0.831 8.611
-1.440 0.831 8.611
0.000 -1.662 8.611
In Co Ag
1 2 1
Direct
0.000 0.000 0.000
0.251 0.251 0.251
0.749 0.749 0.749
0.500 0.500 0.500

Record 8
InCo2Ag, relaxed, DFT GGA-PBE; SG = I-42d (122); total magnetization = 3.0 μB per formula unit; formation enthalpy at 0 K = 0.62 eV per atom; final energy = -34.6 eV per cell
1.0
-1.916 1.916 9.395
1.916 -1.916 9.395
1.916 1.916 -9.395
In Co Ag
2 4 2
Direct
0.000 0.000 0.000
0.750 0.250 0.500
0.191 0.625 0.066
0.375 0.441 0.566
0.559 0.125 0.934
0.875 0.809 0.434
0.250 0.750 0.500
0.500 0.500 0.000

Record 9
In2CoAg, relaxed, DFT GGA-PBE; SG = Fm-3m (225); total magnetization = 0.0 μB per formula unit; energy relative to the lowest polymorph listed for this composition = 0.1063 eV per atom; formation enthalpy at 0 K = 0.20 eV per atom; final energy = -14.6 eV per cell
1.0
0.000 3.286 3.286
3.286 0.000 3.286
3.286 3.286 0.000
In Co Ag
2 1 1
Direct
0.250 0.250 0.250
0.750 0.750 0.750
0.000 0.000 0.000
0.500 0.500 0.500

Record 10
In2CoAg, relaxed, DFT GGA-PBE; SG = Cm (8); total magnetization = 0.0 μB per formula unit; energy relative to the lowest polymorph listed for this composition = 0.0000 eV per atom; formation enthalpy at 0 K = 0.09 eV per atom; final energy = -15.1 eV per cell
1.0
6.391 -1.474 0.000
6.391 1.474 0.000
-1.468 0.000 4.083
In Co Ag
2 1 1
Direct
0.000 0.000 0.000
0.205 0.205 0.705
0.685 0.685 0.184
0.380 0.380 0.380

Record 11
In2CoAg, relaxed, DFT GGA-PBE; SG = R-3m (166); total magnetization = 0.6 μB per formula unit; energy relative to the lowest polymorph listed for this composition = 0.1310 eV per atom; formation enthalpy at 0 K = 0.22 eV per atom; final energy = -14.5 eV per cell
1.0
1.564 0.903 8.801
-1.564 0.903 8.801
0.000 -1.806 8.801
In Co Ag
2 1 1
Direct
0.241 0.241 0.241
0.759 0.759 0.759
0.500 0.500 0.500
0.000 0.000 0.000

Record 12
InCo3Ag, relaxed, DFT GGA-PBE; SG = Pm-3m (221); total magnetization = 5.5 μB per formula unit; energy relative to the lowest polymorph listed for this composition = 0.0000 eV per atom; formation enthalpy at 0 K = 1.47 eV per atom; final energy = -19.6 eV per cell
1.0
4.656 0.000 0.000
0.000 4.656 0.000
0.000 0.000 4.656
In Co Ag
1 3 1
Direct
0.000 0.000 0.000
0.000 0.500 0.500
0.500 0.000 0.500
0.500 0.500 0.000
0.500 0.500 0.500